An optimized crystal structure of CsK2VF6. Source: Alexandria via LeMat-Bulk, functional PBE+U.

Values from the calculation:
Its space group is P2_1/c. Its uncorrected energy is -5.056 eV/atom.

Lattice parameters (Å, degrees): 6.2908 6.8319 10.9558 90.00 124.00 90.00
Last column: nearest neighbours and their distance in Å.
Sites, in units of the cell vectors:
Cs1 0.0000 0.0000 0.0000  6 F 2.82-3.13
Cs2 0.0000 0.5000 0.5000  6 F 2.82-3.13
K1 0.2196 0.0286 0.7260  6 F 2.65-2.85
K2 0.2196 0.4714 0.2260  6 F 2.65-2.85
K3 0.7804 0.5286 0.7740  6 F 2.65-2.85
K4 0.7804 0.9714 0.2740  6 F 2.65-2.85
V1 0.5000 0.0000 0.5000  6 F 1.98-2.00
V2 0.5000 0.5000 0.0000  6 F 1.98-2.00
F1 0.2101 0.1459 0.4805  1 V 1.98
F2 0.2101 0.3541 0.9805  1 V 1.98
F3 0.2582 0.7226 0.8914  1 V 2.00
F4 0.2582 0.7774 0.3914  1 V 2.00
F5 0.4226 0.1147 0.3119  1 V 1.99
F6 0.4226 0.3853 0.8119  1 V 1.99
F7 0.5774 0.6147 0.1881  1 V 1.99
F8 0.5774 0.8853 0.6881  1 V 1.99
F9 0.7418 0.2226 0.6086  1 V 2.00
F10 0.7418 0.2774 0.1086  1 V 2.00
F11 0.7899 0.6459 0.0195  1 V 1.98
F12 0.7899 0.8541 0.5195  1 V 1.98